Below is TeHSe2 after structural relaxation, with properties calculated at the PBE-GGA level.

```
8
Lattice="4.077 0.032 -0.616 -0.368 9.300 -1.318 0.226 0.045 6.483" Properties=species:S:1:pos:R:3 pbc="T T T"
Te 2.870 2.156 0.739
Te 1.357 5.863 1.266
H 2.796 6.152 4.818
H 1.657 1.911 3.668
Se 1.001 3.313 -0.470
Se 1.487 0.832 2.646
Se 3.226 4.706 2.475
Se 2.741 7.185 -0.643
```

Results
Energy relative to the lowest polymorph listed for this composition: 0.03 eV/f.u.


Below is CuTc2Se after structural relaxation, with properties calculated at the PBE-GGA level.

```
4
Lattice="-2.784 -4.299 -1.687 -1.489 -3.954 3.351 -0.181 5.240 -1.261" Properties=species:S:1:pos:R:3 pbc="T T T"
Tc -0.169 -0.326 0.066
Tc -1.968 -3.800 0.766
Se -1.903 -1.420 1.461
Cu -2.551 -1.593 -1.058
```

Results
Final energy: -0.2456 Ha/atom


Below is Tb3Y2Tm after structural relaxation, with properties calculated at the PBE-GGA level.

```
12
Lattice="6.926 -1.148 -1.465 -4.108 9.290 -0.384 -2.152 0.714 6.799" Properties=species:S:1:pos:R:3 pbc="T T T"
Y -2.475 6.453 5.152
Y 3.142 2.403 -0.201
Y 2.064 2.748 3.199
Y -1.398 6.108 1.751
Tb -3.997 9.532 4.348
Tb -0.318 2.963 0.534
Tb 2.060 5.526 1.018
Tb 4.663 -0.676 0.602
Tb -1.393 3.329 3.933
Tb 0.985 5.893 4.417
Tm -2.920 9.177 0.949
Tm 3.586 -0.321 4.002
```

Results
DFT formation energy: 0.31 kJ per mole of atoms


Below is La2CdHg after structural relaxation, with properties calculated at the PBE-GGA level.

```
4
Lattice="-2.725 0.236 4.797 0.733 -1.323 5.311 2.210 5.726 2.493" Properties=species:S:1:pos:R:3 pbc="T T T"
La 0.099 2.302 6.312
La -1.982 -1.069 10.095
Hg 0.055 1.160 3.150
Cd 0.164 3.480 9.450
```

Results
Energy relative to the lowest polymorph listed for this composition: 0.74 eV/f.u.
DFT formation energy: -22.09 kJ per mole of atoms


Below is SrGe2Pd9 after structural relaxation, with properties calculated at the PBE-GGA level.

```
24
Lattice="6.210 0.000 2.859 3.105 7.771 1.429 -0.145 0.000 8.488" Properties=species:S:1:pos:R:3 pbc="T T T"
Pd 2.151 3.295 2.511
Pd 3.914 3.295 8.837
Pd 2.832 7.181 7.102
Pd 2.031 5.267 8.840
Pd 6.138 3.885 7.103
Pd 4.787 2.504 2.854
Pd 6.266 4.476 9.919
Pd 3.987 0.590 4.592
Pd 5.209 6.390 6.026
Pd 2.078 0.590 6.755
Pd 3.234 7.181 4.246
Pd 4.715 1.381 7.098
Pd 7.067 6.390 8.181
Pd 0.000 0.000 0.000
Pd 4.034 5.267 2.507
Pd 1.350 1.381 4.249
Pd 1.278 2.504 8.494
Pd 6.009 4.476 4.287
Ge 6.174 1.943 4.981
Ge 4.549 5.828 8.511
Ge 6.102 1.943 9.225
Ge 7.726 5.828 5.696
Sr 3.105 0.000 1.429
Sr 3.033 3.885 5.674
```

Results
DFT formation energy: -44.67 kJ per mole of atoms


Below is Ho2HfTl2S6 after structural relaxation, with properties calculated at the PBE-GGA level.

```
11
Lattice="6.729 -0.009 0.054 -3.333 5.846 0.054 -1.217 -2.092 7.560" Properties=species:S:1:pos:R:3 pbc="T T T"
S 0.673 4.812 2.417
S 0.468 0.804 2.350
S 1.505 -1.067 5.252
S 1.711 2.941 5.319
S 3.850 2.964 2.417
S -1.671 0.781 5.252
Hf -0.609 -1.046 3.780
Ho 2.770 0.895 3.835
Ho -0.591 2.850 3.835
Tl 5.024 0.984 0.054
Tl -1.628 4.854 0.054
```

Results
Final energy: -0.2184 Ha/atom


Below is LiSn5Ir3 after structural relaxation, with properties calculated at the PBE-GGA level.

```
18
Lattice="-2.000 6.389 3.226 -6.790 -1.432 2.660 -0.741 -0.248 9.705" Properties=species:S:1:pos:R:3 pbc="T T T"
Ir -6.564 3.162 11.853
Ir -6.148 3.262 6.944
Ir 0.000 0.000 0.000
Ir -0.371 -0.124 4.853
Ir -3.383 1.446 8.646
Ir -2.967 1.546 3.737
Sn -4.742 5.366 7.402
Sn -4.789 -0.658 8.188
Sn -2.128 3.686 8.503
Sn -7.402 1.022 7.088
Sn -7.603 3.628 14.216
Sn -5.409 0.823 2.823
Sn -1.927 1.081 1.374
Sn -4.014 2.017 6.099
Sn -3.381 4.134 3.062
Sn -5.517 2.692 9.491
Li -1.368 0.316 7.212
Li -8.163 4.393 8.379
```

Results
DFT formation energy: -10.94 kJ per mole of atoms


Below is Be2SeN after structural relaxation, with properties calculated at the PBE-GGA level.

```
4
Lattice="0.000 2.796 2.796 2.796 0.000 2.796 2.796 2.796 0.000" Properties=species:S:1:pos:R:3 pbc="T T T"
Be 1.398 1.398 1.398
Be 4.193 4.193 4.193
Se 2.796 2.796 2.796
N 0.000 0.000 0.000
```

Results
Energy relative to the lowest polymorph listed for this composition: 6.18 eV/f.u.


Below is NaLi4Ga9 after structural relaxation, with properties calculated at the PBE-GGA level.

```
28
Lattice="7.966 0.000 -4.492 -2.533 7.553 -4.492 -0.196 -0.272 8.963" Properties=species:S:1:pos:R:3 pbc="T T T"
Ga -0.838 7.179 -5.155
Ga 1.272 3.403 -3.384
Ga -0.105 1.488 -1.107
Ga 4.238 0.354 0.397
Ga 0.864 4.130 -0.660
Ga 6.846 1.372 0.639
Ga -1.608 5.908 -0.660
Ga 6.271 0.374 -3.829
Ga 3.983 0.000 -2.246
Ga -1.266 3.776 -2.246
Ga 3.610 2.288 -3.829
Ga 5.538 6.065 -7.876
Ga -0.279 5.149 1.696
Ga 4.161 4.150 -5.599
Ga 1.000 6.927 -0.418
Ga 4.374 3.150 0.639
Ga 1.823 5.265 -5.155
Ga 5.517 2.132 -1.717
Na 3.977 5.529 -2.256
Na 1.260 1.752 2.235
Li 2.579 5.053 1.153
Li 4.902 1.277 2.804
Li 3.983 7.005 -5.666
Li -1.068 4.052 3.995
Li 2.659 2.227 -1.174
Li 6.306 3.229 -4.016
Li 0.336 6.004 -2.825
Li 1.254 0.275 5.645
```

Results
DFT formation energy: -20.19 kJ per mole of atoms


Below is NdHo4Tl4 after structural relaxation, with properties calculated at the PBE-GGA level.

```
18
Lattice="7.368 0.000 0.000 0.000 7.368 0.000 0.000 0.000 10.413" Properties=species:S:1:pos:R:3 pbc="T T T"
Ho 5.392 0.000 6.143
Ho 1.708 3.684 9.476
Ho 0.000 1.976 4.269
Ho 5.660 3.684 9.476
Ho 3.684 5.660 0.937
Ho 0.000 5.392 4.269
Ho 1.976 0.000 6.143
Ho 3.684 1.708 0.937
Tl 3.684 1.617 8.214
Tl 5.751 3.684 2.199
Tl 0.000 2.067 7.405
Tl 0.000 5.301 7.405
Tl 2.067 0.000 3.007
Tl 3.684 5.751 8.214
Tl 5.301 0.000 3.007
Tl 1.617 3.684 2.199
Nd 3.684 3.684 5.206
Nd 0.000 0.000 0.000
```

Results
DFT formation energy: -9.56 kJ per mole of atoms


Below is TbPu2Sc after structural relaxation, with properties calculated at the PBE-GGA level.

```
4
Lattice="3.402 0.000 0.000 1.701 2.946 0.000 1.701 0.982 11.023" Properties=species:S:1:pos:R:3 pbc="T T T"
Sc 5.103 2.946 11.017
Tb 3.402 1.964 5.520
Pu 1.701 0.982 2.665
Pu 1.701 0.982 8.355
```

Results
Energy relative to the lowest polymorph listed for this composition: 0.00 eV/f.u.
DFT formation energy: 16.56 kJ per mole of atoms


Below is PmEr2Re after structural relaxation, with properties calculated at the PBE-GGA level.

```
4
Lattice="3.227 0.000 0.000 1.614 2.795 0.000 1.614 0.932 11.348" Properties=species:S:1:pos:R:3 pbc="T T T"
Pm 3.227 1.863 5.674
Re 0.000 0.000 0.000
Er 1.614 0.932 8.680
Er 4.841 2.795 2.669
```

Results
DFT formation energy: 75.56 kJ per mole of atoms